Record 1
Density functional theory data (GGA-PBE) for a relaxed RbPm2PtO5 crystal.

Results
Theoretical density, g/cm3: 7.633
Spin magnetization, μB/atom: 0.115
Raw formation energy, eV per atom: -2.07

```
RbPm2PtO5
1.0
-6.658 1.333 -0.509
-1.219 -6.577 -1.275
3.274 1.586 6.872
Pm O Pt Rb
4 10 2 2
Cartesian
-6.311 -3.347 -1.281
-1.566 -1.897 -0.503
-3.162 -4.988 -1.215
-4.715 -0.256 -0.568
-5.395 -5.145 -0.038
1.816 -2.128 4.614
-2.792 -0.582 1.042
0.792 1.487 5.126
-1.812 -3.076 4.046
-1.767 -4.197 0.529
-3.938 -2.622 -0.892
0.000 0.000 0.000
-2.836 0.540 4.559
-6.420 -1.530 0.474
-3.661 0.148 2.735
-0.942 -3.806 2.353
-0.332 -0.518 2.990
-4.271 -3.140 2.098
```

Record 2
Density functional theory data (GGA-PBE) for a relaxed BaGaCo crystal.

Results
Theoretical density, g/cm3: 5.267
Calculated formation energy, eV/atom: -0.050
Spin magnetization, μB/atom: 0.352

```
BaGaCo
1.0
5.040 0.000 -0.078
0.000 4.143 0.000
-3.131 0.000 16.110
Ba Ga Co
4 4 4
Cartesian
0.897 0.000 10.579
-1.551 2.072 13.952
2.463 2.072 2.524
0.015 0.000 5.896
-1.118 2.072 8.653
2.568 2.072 6.210
0.448 0.000 0.597
1.002 0.000 14.265
0.890 2.072 15.970
1.381 2.072 8.271
2.947 0.000 0.216
2.456 0.000 7.915
```